## CaCuSe2N (PBE)

Data for a relaxed structure of CaCuSe2N.

Output
space group	P4/mmm
total DFT energy (no corrections)	-3.216	eV/atom
energy relative to the elements, uncorrected	1.063	eV per atom

Lattice parameters (Å, degrees): 5.425 5.425 4.318 90.00 90.00 90.00
Fractional coordinates of all 5 atoms:
Ca 0.000 0.000 0.000
Cu 0.500 0.500 0.500
Se 0.000 0.500 0.000
Se 0.500 0.000 0.000
N 0.000 0.000 0.500

## Sc3SbPb (PBE)

Data for a relaxed structure of Sc3SbPb.

Output
space group	Cmmm
total DFT energy (no corrections)	-5.714	eV/atom
energy relative to the elements, uncorrected	-0.349	eV per atom

Lattice parameters (Å, degrees): 8.476 8.476 4.211 90.00 90.00 115.16
Fractional coordinates of all 10 atoms:
Sc 0.137 0.863 0.000
Sc 0.201 0.431 0.500
Sc 0.431 0.201 0.500
Sc 0.569 0.799 0.500
Sc 0.799 0.569 0.500
Sc 0.863 0.137 0.000
Sb 0.000 0.500 0.000
Sb 0.500 0.000 0.000
Pb 0.000 0.000 0.500
Pb 0.500 0.500 0.000

## TbSm2Au (PBE)

Data for a relaxed structure of TbSm2Au.

Output
space group	R3m
DFT formation energy	-249	meV per atom
total DFT energy (no corrections)	-4.585	eV/atom

Lattice parameters (Å, degrees): 10.275 10.275 10.275 21.07 21.07 21.07
Fractional coordinates of all 4 atoms:
Tb 0.000 0.000 0.000
Sm 0.237 0.237 0.237
Sm 0.429 0.429 0.429
Au 0.833 0.833 0.833